Entry from Alexandria via LeMat-Bulk: a relaxed Tm4MgFe crystal (PBE-GGA).

a b c (Å): 9.446 9.446 9.446
angles (deg): 60.00 60.00 60.00
Fractional positions:
Tm1 0.028 0.657 0.657
Tm2 0.060 0.060 0.440
Tm3 0.060 0.440 0.060
Tm4 0.060 0.440 0.440
Tm5 0.186 0.186 0.814
Tm6 0.186 0.814 0.186
Tm7 0.186 0.814 0.814
Tm8 0.440 0.060 0.060
Tm9 0.440 0.060 0.440
Tm10 0.440 0.440 0.060
Tm11 0.657 0.028 0.657
Tm12 0.657 0.657 0.028
Tm13 0.657 0.657 0.657
Tm14 0.814 0.186 0.186
Tm15 0.814 0.186 0.814
Tm16 0.814 0.814 0.186
Mg1 0.421 0.421 0.421
Mg2 0.421 0.421 0.738
Mg3 0.421 0.738 0.421
Mg4 0.738 0.421 0.421
Fe1 0.414 0.862 0.862
Fe2 0.862 0.414 0.862
Fe3 0.862 0.862 0.414
Fe4 0.862 0.862 0.862

Output
As for the space group: F-43m (216). As for the energy above the lowest structure with this stoichiometry: 0 meV per atom.

Entry from Alexandria via LeMat-Bulk: a relaxed Tm6MgFe2 crystal (PBE-GGA).

a b c (Å): 8.311 8.311 8.311
angles (deg): 111.56 110.29 106.61
Fractional positions:
Tm1 0.013 0.229 0.785
Tm2 0.188 0.290 0.478
Tm3 0.188 0.710 0.898
Tm4 0.309 0.012 0.702
Tm5 0.309 0.607 0.298
Tm6 0.444 0.229 0.215
Tm7 0.556 0.771 0.785
Tm8 0.691 0.393 0.702
Tm9 0.691 0.988 0.298
Tm10 0.812 0.290 0.102
Tm11 0.812 0.710 0.522
Tm12 0.987 0.771 0.215
Mg1 0.000 0.000 0.000
Mg2 0.500 0.500 0.000
Fe1 0.109 0.609 0.500
Fe2 0.384 0.000 0.384
Fe3 0.616 0.000 0.616
Fe4 0.891 0.391 0.500

Output
As for the space group: Immm (71).

Entry from Alexandria via LeMat-Bulk: a relaxed Tm4MgFe crystal (PBE-GGA).

a b c (Å): 8.326 6.751 5.957
angles (deg): 90.00 100.26 90.00
Fractional positions:
Tm1 0.122 0.139 0.384
Tm2 0.122 0.361 0.884
Tm3 0.278 0.617 0.434
Tm4 0.278 0.883 0.934
Tm5 0.722 0.117 0.066
Tm6 0.722 0.383 0.566
Tm7 0.878 0.639 0.116
Tm8 0.878 0.861 0.616
Mg1 0.500 0.000 0.500
Mg2 0.500 0.500 0.000
Fe1 0.000 0.000 0.000
Fe2 0.000 0.500 0.500

Output
As for the space group: P2_1/c (14). As for the energy above the lowest structure with this stoichiometry: 173 meV per atom.

Entry from Alexandria via LeMat-Bulk: a relaxed Tm12MgFe6 crystal (PBE-GGA).

a b c (Å): 8.299 8.299 8.299
angles (deg): 109.47 109.47 109.47
Fractional positions:
Tm1 0.104 0.804 0.300
Tm2 0.196 0.300 0.496
Tm3 0.196 0.700 0.896
Tm4 0.300 0.104 0.804
Tm5 0.300 0.496 0.196
Tm6 0.496 0.196 0.300
Tm7 0.504 0.804 0.700
Tm8 0.700 0.504 0.804
Tm9 0.700 0.896 0.196
Tm10 0.804 0.300 0.104
Tm11 0.804 0.700 0.504
Tm12 0.896 0.196 0.700
Mg1 0.000 0.000 0.000
Fe1 0.111 0.611 0.500
Fe2 0.389 0.500 0.889
Fe3 0.500 0.111 0.611
Fe4 0.500 0.889 0.389
Fe5 0.611 0.500 0.111
Fe6 0.889 0.389 0.500

Output
As for the space group: Im-3 (204).

| no. | formation energy from the elements (eV per atom) | final energy (eV/atom) |
| --- | --- | --- |
| 1 | -0.052 | -4.709 |
| 2 | -0.057 | -5.096 |
| 3 | 0.121 | -4.536 |
| 4 | -0.045 | -5.625 |